Record 1
VASP calculation (PBE-GGA) on crystalline ThScAu4 at its relaxed geometry.

Lattice parameters (Å, degrees): 3.7183 3.7178 9.1908 89.99 90.01 89.99
With the nearest neighbours (Å) after each atom.
Positions (direct):
Th: 0.5000 0.0000 0.0000  10 Au 3.13-3.18
Sc: 0.0000 0.5000 0.5000  10 Au 2.90-2.99
Au: 0.0000 0.5005 0.8153  1 Sc 2.90, 4 Au 3.02, 4 Th 3.13
Au: 0.0000 0.4995 0.1847  1 Sc 2.90, 4 Au 3.02, 4 Th 3.13
Au: 0.5001 0.0009 0.6542  5 Au 2.83-3.02, 4 Sc 2.98-2.99
Au: 0.4999 0.9991 0.3458  5 Au 2.83-3.02, 4 Sc 2.98-2.99

Calculated values
E_tot: -31.0 eV for the cell shown



Record 2
VASP calculation (PBE-GGA) on crystalline CeSm2YHo5 at its relaxed geometry.

Lattice parameters (Å, degrees): 8.5806 8.5806 9.8466 115.83 115.83 90.00
With the nearest neighbours (Å) after each atom.
Positions (direct):
Ce: 0.2500 0.7500 0.5000  4 Ho 2.99
Ce: 0.7500 0.2500 0.5000  4 Ho 2.99
Sm: 0.1206 0.3794 0.0000  1 Sm 2.93, 2 Ho 3.06
Sm: 0.6206 0.1206 0.0000  1 Sm 2.93, 2 Ho 3.06
Sm: 0.3794 0.8794 0.0000  1 Sm 2.93, 2 Ho 3.06
Sm: 0.8794 0.6206 0.0000  1 Sm 2.93, 2 Ho 3.06
Y: 0.2500 0.2500 0.5000  10 Ho 3.53-3.88
Y: 0.7500 0.7500 0.5000  10 Ho 3.53-3.88
Ho: 0.9377 0.4377 0.2797  1 Ce 2.99, 1 Sm 3.06
Ho: 0.6580 0.1580 0.7203  1 Ce 2.99, 1 Sm 3.06
Ho: 0.0623 0.5623 0.7203  1 Ce 2.99, 1 Sm 3.06
Ho: 0.1580 0.0623 0.7203  1 Ce 2.99, 1 Sm 3.06
Ho: 0.5623 0.6580 0.7203  1 Ce 2.99, 1 Sm 3.06
Ho: 0.8420 0.9377 0.2797  1 Ce 2.99, 1 Sm 3.06
Ho: 0.4377 0.3420 0.2797  1 Ce 2.99, 1 Sm 3.06
Ho: 0.3420 0.8420 0.2797  1 Ce 2.99, 1 Sm 3.06
Ho: 0.5000 0.5000 0.0000  4 Sm 3.42, 8 Ho 3.77
Ho: 0.0000 0.0000 0.0000  4 Sm 3.42, 8 Ho 3.77

Calculated values
E_tot: -84.5 eV for the cell shown



Record 3
VASP calculation (PBE-GGA) on crystalline TlIn2Se2 at its relaxed geometry.

Lattice parameters (Å, degrees): 8.5280 8.5280 3.9244 90.00 90.00 90.00
With the nearest neighbours (Å) after each atom.
Positions (direct):
Tl: 0.0000 0.0000 0.0000  4 In 3.40, 8 Se 3.61
Tl: 0.5000 0.5000 0.0000  4 In 3.40, 8 Se 3.61
Se: 0.2216 0.7216 0.5000  2 In 2.74
Se: 0.7216 0.7784 0.5000  2 In 2.74
Se: 0.7784 0.2784 0.5000  2 In 2.74
Se: 0.2784 0.2216 0.5000  2 In 2.74
In: 0.3801 0.8801 0.0000  2 Se 2.74, 1 In 2.89
In: 0.8801 0.6199 0.0000  2 Se 2.74, 1 In 2.89
In: 0.6199 0.1199 0.0000  2 Se 2.74, 1 In 2.89
In: 0.1199 0.3801 0.0000  2 Se 2.74, 1 In 2.89

Calculated values
Energy relative to the elements, uncorrected: -122 kJ/mol of formula units
E_tot: -32.1 eV for the cell shown
ΔE to the lowest computed polymorph: 104 meV per atom